Entry i
TmMg2Hg (PBE, relaxed); DOS(E_F) = 2.394 states/eV/cell; spin magnetization = 0.000 μB per cell; crystal system = tetragonal
1.0
-0.4052 4.6883 1.1158
-2.8015 0.5572 -3.3588
-3.3846 -0.9278 2.6691
Mg Tm Hg
2 1 1
Cartesian
-1.6923 -0.4639 1.3346
-1.4008 0.2786 -1.6794
-3.2957 2.1589 0.2131
-0.2026 2.3442 0.5579

***

Entry ii
TmMg2Hg (PBE, relaxed); DOS(E_F) = 1.738 states/eV/cell; spin magnetization = 0.000 μB per cell; crystal system = tetragonal
1.0
4.3900 -0.0045 -2.4969
-2.9064 4.1300 -0.0531
-0.0046 0.0020 5.0444
Tm Mg Hg
1 2 1
Cartesian
1.1076 2.3207 -0.6449
-1.8186 3.3570 4.3729
2.5599 0.2567 1.9047
-0.3604 1.2909 1.8787

***

Which one sits at the bottom of the stability order? entry i does.

***

Entry i
YTmMgHg (PBE, relaxed); DOS(E_F) = 4.253 states/eV/cell; spin magnetization = 0.001 μB per cell; crystal system = cubic
1.0
-3.3864 -1.9674 3.5233
1.5937 -3.6816 3.4143
0.5217 1.1912 5.1049
Y Mg Tm Hg
1 1 1 1
Cartesian
-0.9532 -3.3434 9.0318
-0.6355 -2.2289 6.0212
-0.3177 -1.1145 3.0106
0.0000 0.0000 0.0000

***

Entry ii
YTmMgHg (PBE, relaxed); DOS(E_F) = 4.143 states/eV/cell; spin magnetization = 0.000 μB per cell; crystal system = tetragonal
1.0
-0.4644 -3.1764 -1.9660
3.5326 0.2707 -1.2719
2.3647 -3.8974 5.7384
Y Tm Mg Hg
1 1 1 1
Cartesian
2.0353 -3.3545 4.9390
0.8288 -1.3661 2.0113
2.9566 -3.7974 1.8330
1.8065 -1.9019 -0.9579

***

Which one sits at the bottom of the stability order? entry i does.

***

Entry i
Mg3VHg (PBE, relaxed); DOS(E_F) = 2.901 states/eV/cell; spin magnetization = 4.675 μB per cell; crystal system = cubic
1.0
5.3518 0.0000 0.0000
0.0000 5.3518 0.0000
0.0000 0.0000 5.3518
Mg Hg V
3 1 1
Cartesian
0.0000 2.6759 0.0000
0.0000 0.0000 2.6759
2.6759 0.0000 0.0000
2.6759 2.6759 2.6759
0.0000 0.0000 0.0000

***

Entry ii
Mg3VHg (PBE, relaxed); DOS(E_F) = 5.201 states/eV/cell; spin magnetization = 4.027 μB per cell; crystal system = cubic
1.0
-3.5964 -1.5635 -3.3360
-1.8832 -3.2267 3.5425
-3.1665 3.6948 1.6821
Mg Hg V
3 1 1
Cartesian
-0.9416 -1.6134 1.7713
-1.5833 1.8474 0.8411
-1.7982 -0.7818 -1.6680
0.0000 0.0000 0.0000
-4.3231 -0.5478 0.9443

***

Which one sits at the bottom of the stability order? entry i does.

***

Entry i
MgHgW3 (PBE, relaxed); DOS(E_F) = 6.007 states/eV/cell; spin magnetization = 0.000 μB per cell; crystal system = cubic
1.0
4.5986 0.0000 0.0000
0.0000 4.5986 0.0000
0.0000 0.0000 4.5986
Mg Hg W
1 1 3
Cartesian
0.0000 0.0000 0.0000
2.2993 2.2993 2.2993
0.0000 2.2993 0.0000
0.0000 0.0000 2.2993
2.2993 0.0000 0.0000

***

Entry ii
MgHgW3 (PBE, relaxed); DOS(E_F) = 10.646 states/eV/cell; spin magnetization = 0.000 μB per cell; crystal system = cubic
1.0
4.9540 0.0000 0.0000
0.0000 4.9540 0.0000
0.0000 0.0000 4.9540
Mg Hg W
1 1 3
Cartesian
2.4770 2.4770 2.4770
0.0000 0.0000 0.0000
0.0000 2.4770 0.0000
0.0000 0.0000 2.4770
2.4770 0.0000 0.0000

***

Which one sits at the bottom of the stability order? entry ii does.

***

Entry i
MgHgW (PBE, relaxed); DOS(E_F) = 5.193 states/eV/cell; spin magnetization = 1.922 μB per cell; crystal system = cubic
1.0
4.6019 0.0000 0.0000
2.3010 3.9854 0.0000
2.3010 1.3285 3.7575
Hg Mg W
1 1 1
Cartesian
0.0000 0.0000 0.0000
4.6019 2.6569 1.8787
6.9029 3.9854 2.8181

***

Entry ii
MgHgW (PBE, relaxed); DOS(E_F) = 2.025 states/eV/cell; spin magnetization = 0.000 μB per cell; crystal system = tetragonal
1.0
-5.7010 -3.0192 3.0919
-2.4809 -4.9572 4.5219
4.2129 5.3070 -2.2942
Hg Mg W
1 1 1
Cartesian
-0.0091 -0.0089 0.0085
-2.6822 -2.6148 2.4960
-5.4905 -5.3526 5.1094

***

Which one sits at the bottom of the stability order? entry i does.

***

Entry i
Mg3HgW (PBE, relaxed); DOS(E_F) = 2.801 states/eV/cell; spin magnetization = 3.833 μB per cell; crystal system = cubic
1.0
5.0728 0.0000 0.0000
0.0000 5.0728 0.0000
0.0000 0.0000 5.0728
Mg Hg W
3 1 1
Cartesian
0.0000 2.5364 0.0000
0.0000 0.0000 2.5364
2.5364 0.0000 0.0000
0.0000 0.0000 0.0000
2.5364 2.5364 2.5364

***

Entry ii
Mg3HgW (PBE, relaxed); DOS(E_F) = 3.731 states/eV/cell; spin magnetization = 3.578 μB per cell; crystal system = cubic
1.0
5.3881 0.0000 0.0000
0.0000 5.3881 0.0000
0.0000 0.0000 5.3881
Mg Hg W
3 1 1
Cartesian
0.0000 2.6941 0.0000
0.0000 0.0000 2.6941
2.6941 0.0000 0.0000
2.6941 2.6941 2.6941
0.0000 0.0000 0.0000

***

Which one sits at the bottom of the stability order? entry i does.

***

Entry i
Y2MgHg2 (PBE, relaxed); DOS(E_F) = 6.481 states/eV/cell; spin magnetization = 0.000 μB per cell; crystal system = tetragonal
1.0
8.0887 0.0000 0.0000
0.0000 8.0887 0.0000
0.0000 0.0000 3.9841
Y Mg Hg
4 2 4
Cartesian
1.3404 5.3848 1.9921
5.3848 6.7483 1.9921
6.7483 2.7040 1.9921
2.7040 1.3404 1.9921
0.0000 0.0000 0.0000
4.0444 4.0444 0.0000
2.9525 6.9969 0.0000
6.9969 5.1362 0.0000
5.1362 1.0919 0.0000
1.0919 2.9525 0.0000

***

Entry ii
Y2MgHg2 (PBE, relaxed); DOS(E_F) = 5.109 states/eV/cell; spin magnetization = 0.646 μB per cell; crystal system = tetragonal
1.0
-3.7402 2.0038 -2.4020
2.0498 -1.2582 -4.2414
-3.8920 -5.1245 -3.1634
Y Mg Hg
2 1 2
Cartesian
-4.2387 -1.3740 -4.4436
-1.3437 -3.0050 -5.3632
0.0000 0.0000 0.0000
-1.4989 -0.8067 -3.2877
-4.0835 -3.5722 -6.5191

***

Which one sits at the bottom of the stability order? entry ii does.

***

Entry i
Y2MgHg (PBE, relaxed); DOS(E_F) = 4.139 states/eV/cell; spin magnetization = 0.005 μB per cell; crystal system = tetragonal
1.0
-3.6206 6.5486 3.6475
-2.2248 -3.8984 -2.6416
-2.3740 -0.6811 3.0002
Y Mg Hg
2 1 1
Cartesian
0.0000 0.0000 0.0000
-2.9973 2.9338 3.3238
-2.9227 1.3251 0.5029
-2.2994 -2.2897 0.1793

***

Entry ii
Y2MgHg (PBE, relaxed); DOS(E_F) = 4.420 states/eV/cell; spin magnetization = 0.687 μB per cell; crystal system = orthorhombic
1.0
-1.7396 5.9534 1.5032
-3.2339 3.4978 -4.2469
0.1528 -5.3373 3.4955
Y Mg Hg
2 1 1
Cartesian
-0.0247 0.0470 -0.0136
-1.9293 2.4665 1.8727
-2.9427 1.7448 -1.1492
-2.4108 4.5812 -1.3299

***

Entry iii
Y2MgHg (PBE, relaxed); DOS(E_F) = 4.920 states/eV/cell; spin magnetization = 0.000 μB per cell; crystal system = monoclinic
1.0
4.8759 0.0000 0.0000
0.0000 3.6685 0.0542
0.0000 1.6490 6.0626
Y Mg Hg
2 1 1
Cartesian
0.0000 5.1045 5.8316
2.4379 1.5406 1.8520
2.4379 3.3086 4.6441
0.0000 3.3400 2.9643

***

Entry iv
Y2MgHg (PBE, relaxed); DOS(E_F) = 3.861 states/eV/cell; spin magnetization = 0.000 μB per cell; crystal system = tetragonal
1.0
-2.1845 2.1539 5.1627
-5.7231 -1.4188 1.1393
4.9183 -3.0364 -1.6294
Hg Mg Y
1 1 2
Cartesian
-3.9538 0.3676 3.1510
-0.6100 -0.2575 3.3422
0.0000 0.0000 0.0000
-2.3793 -2.0438 1.3304

***

Which one sits at the bottom of the stability order? entry iv does.

***

Entry i
Y2MgHg (PBE, relaxed); DOS(E_F) = 4.597 states/eV/cell; spin magnetization = 0.000 μB per cell; crystal system = trigonal
1.0
-2.0827 0.2900 2.9575
-3.3652 -1.3578 -0.0103
1.7464 -9.2109 4.3594
Y Mg Hg
2 1 1
Cartesian
0.9149 -7.1440 3.5712
-0.9812 -2.4310 1.7738
-1.8529 -5.1338 3.6512
-1.8865 -9.9201 6.3232

***

Entry ii
Y2MgHg (PBE, relaxed); DOS(E_F) = 3.566 states/eV/cell; spin magnetization = 0.859 μB per cell; crystal system = tetragonal
1.0
3.8337 0.0000 0.0000
0.0000 3.8337 0.0000
0.0000 0.0000 7.2987
Hg Mg Y
1 1 2
Cartesian
0.0000 0.0000 3.7688
1.9169 1.9169 5.3118
0.0000 0.0000 7.1483
1.9169 1.9169 2.0179

***

Which one sits at the bottom of the stability order? entry i does.

***

Entry i
Y2MgHg (PBE, relaxed); DOS(E_F) = 4.365 states/eV/cell; spin magnetization = 0.000 μB per cell; crystal system = monoclinic
1.0
-3.3753 1.0211 -0.8303
-1.9348 -1.8260 5.6197
-0.3590 3.3564 5.5870
Hg Mg Y
1 1 2
Cartesian
-2.8346 1.2757 5.1882
-0.1795 1.6782 2.7935
0.0000 0.0000 0.0000
-2.6551 -0.4025 2.3947

***

Entry ii
Y2MgHg (PBE, relaxed); DOS(E_F) = 8.414 states/eV/cell; spin magnetization = 0.001 μB per cell; crystal system = tetragonal
1.0
8.4890 0.0000 0.0000
0.0000 8.4890 0.0000
4.2445 4.2445 3.2480
Y Mg Hg
4 2 2
Cartesian
6.6246 2.1222 0.8120
1.8643 6.3667 0.8120
6.3667 6.1088 2.4360
10.6112 10.8691 2.4360
4.2445 4.2445 0.0000
4.2445 8.4890 1.6240
0.0000 0.0000 0.0000
8.4890 4.2445 1.6240

***

Which one sits at the bottom of the stability order? entry ii does.

***

Entry i
Y2MgHg (PBE, relaxed); DOS(E_F) = 4.940 states/eV/cell; spin magnetization = 0.001 μB per cell; crystal system = cubic
1.0
1.7926 -2.9631 4.0198
-3.2066 -3.5249 2.3333
0.8179 -5.1963 -0.6934
Y Mg Hg
2 1 1
Cartesian
-0.1490 -2.9211 1.4149
-0.4471 -8.7632 4.2447
0.0000 0.0000 0.0000
-0.2981 -5.8421 2.8298

***

Entry ii
Y2MgHg (PBE, relaxed); DOS(E_F) = 3.009 states/eV/cell; spin magnetization = 0.000 μB per cell; crystal system = orthorhombic
1.0
-3.8784 -5.7745 -2.7456
6.1812 3.9538 -1.4444
-3.7177 -5.4866 3.4644
Y Mg Hg
2 1 1
Cartesian
-2.1633 -3.2071 0.2047
-5.4328 -8.0541 0.5140
0.0000 0.0000 0.0000
-3.7981 -5.6306 0.3594

***

Which one sits at the bottom of the stability order? entry ii does.

***

Entry i
YMgHg4 (PBE, relaxed); DOS(E_F) = 2.396 states/eV/cell; spin magnetization = 0.000 μB per cell; crystal system = triclinic
1.0
-4.6593 0.5873 -1.8059
1.0986 -3.9998 2.5673
-4.6136 -0.1162 6.4891
Y Mg Hg
1 1 4
Cartesian
-6.3960 -1.8093 6.8490
-5.8630 -3.4598 3.9909
-3.0233 -3.3807 2.8555
-5.1536 -0.1241 4.3481
-3.1945 -1.6308 5.8059
-4.9825 -1.8748 1.3989

***

Entry ii
YMgHg4 (PBE, relaxed); DOS(E_F) = 3.729 states/eV/cell; spin magnetization = 0.000 μB per cell; crystal system = cubic
1.0
0.0000 4.1960 4.1960
4.1960 0.0000 4.1960
4.1960 4.1960 0.0000
Y Mg Hg
1 1 4
Cartesian
0.0000 0.0000 0.0000
2.0980 2.0980 2.0980
5.2461 3.1459 3.1459
5.2461 5.2461 5.2461
3.1459 5.2461 3.1459
3.1459 3.1459 5.2461

***

Which one sits at the bottom of the stability order? entry ii does.

***

Entry i
Y2Mg2Hg (PBE, relaxed); DOS(E_F) = 14.891 states/eV/cell; spin magnetization = 2.174 μB per cell; crystal system = tetragonal
1.0
7.2584 0.0000 0.0000
0.0000 7.2584 0.0000
0.0000 0.0000 5.0014
Y Mg Hg
4 4 2
Cartesian
1.2361 4.8653 2.5007
4.8653 6.0222 2.5007
6.0222 2.3930 2.5007
2.3930 1.2361 2.5007
2.6306 6.2598 0.0000
6.2598 4.6277 0.0000
4.6277 0.9986 0.0000
0.9986 2.6306 0.0000
0.0000 0.0000 0.0000
3.6292 3.6292 0.0000

***

Entry ii
Y2Mg2Hg (PBE, relaxed); DOS(E_F) = 9.924 states/eV/cell; spin magnetization = 0.000 μB per cell; crystal system = tetragonal
1.0
8.2541 0.0000 0.0000
0.0000 8.2541 0.0000
0.0000 0.0000 4.3064
Y Mg Hg
4 4 2
Cartesian
2.8738 7.0009 0.0000
7.0009 5.3803 0.0000
5.3803 1.2532 0.0000
1.2532 2.8738 0.0000
1.1947 5.3218 2.1532
5.3218 7.0594 2.1532
7.0594 2.9323 2.1532
2.9323 1.1947 2.1532
0.0000 0.0000 0.0000
4.1271 4.1271 0.0000

***

Which one sits at the bottom of the stability order? entry ii does.